(1)
First-principles (PBE) data for BaMgAgAu2 after structural relaxation, as listed in Alexandria via LeMat-Bulk.

Cell lengths 4.4043, 4.4043, 7.2134 Å; angles 107.78, 107.78, 90.00 degrees
With the nearest neighbours (Å) after each atom.
Sites, in units of the cell vectors:
Ba: 0.0000 0.0000 0.0000  8 Au 3.43
Mg: 0.7500 0.2500 0.5000  4 Au 2.85, 4 Ag 3.11
Ag: 0.2500 0.7500 0.5000  4 Au 2.85, 4 Mg 3.11
Au: 0.6109 0.6109 0.2217  2 Mg 2.85, 2 Ag 2.85, 1 Au 2.89
Au: 0.3891 0.3891 0.7783  2 Mg 2.85, 2 Ag 2.85, 1 Au 2.89

Calculated values
- N(E_F) (states/eV/cell) = 2.523
- calculated formation energy (kJ/mol of formula units) = -250.9

---

(2)
First-principles (PBE) data for LuPaGa2 after structural relaxation, as listed in Alexandria via LeMat-Bulk.

Cell lengths 4.9995, 4.9995, 4.9995 Å; angles 60.00, 60.00, 60.00 degrees
With the nearest neighbours (Å) after each atom.
Sites, in units of the cell vectors:
Pa: 0.0000 0.0000 0.0000  8 Ga 3.06
Lu: 0.5000 0.5000 0.5000  8 Ga 3.06
Ga: 0.2500 0.2500 0.2500  4 Pa 3.06, 4 Lu 3.06
Ga: 0.7500 0.7500 0.7500  4 Lu 3.06, 4 Pa 3.06

Calculated values
- offset from the most stable computed form (meV/atom) = 75.0
- N(E_F) (states/eV/cell) = 5.704
- calculated formation energy (kJ/mol of formula units) = -120.0

---

(3)
First-principles (PBE) data for Rb2Pr2TiS6 after structural relaxation, as listed in Alexandria via LeMat-Bulk.

Cell lengths 6.9183, 6.9183, 8.1960 Å; angles 98.50, 98.50, 119.10 degrees
With the nearest neighbours (Å) after each atom.
Sites, in units of the cell vectors:
Rb: 0.8286 0.1714 0.0000  6 S 3.32-3.51
Rb: 0.1714 0.8286 0.0000  6 S 3.32-3.51
Pr: 0.3334 0.6666 0.5000  6 S 2.84-2.87
Pr: 0.6666 0.3334 0.5000  6 S 2.84-2.87
Ti: 0.0000 0.0000 0.5000  6 S 2.49-2.52
S: 0.7726 0.7726 0.6831  1 Ti 2.49
S: 0.0635 0.3604 0.6855  1 Ti 2.52
S: 0.2274 0.2274 0.3169  1 Ti 2.49
S: 0.3604 0.0635 0.6855  1 Ti 2.52
S: 0.9365 0.6396 0.3145  1 Ti 2.52
S: 0.6396 0.9365 0.3145  1 Ti 2.52

Calculated values
- final energy (eV/atom) = -5.632

---

(4)
First-principles (PBE) data for K3SrIn after structural relaxation, as listed in Alexandria via LeMat-Bulk.

Cell lengths 6.8242, 6.8242, 6.8242 Å; angles 90.00, 90.00, 90.00 degrees
With the nearest neighbours (Å) after each atom.
Sites, in units of the cell vectors:
Sr: 0.5000 0.5000 0.5000  12 K 4.83
K: 0.0000 0.5000 0.0000  2 In 3.41
K: 0.0000 0.0000 0.5000  2 In 3.41
K: 0.5000 0.0000 0.0000  2 In 3.41
In: 0.0000 0.0000 0.0000  6 K 3.41

Calculated values
- offset from the most stable computed form (meV/atom) = 0.0
- N(E_F) (states/eV/cell) = 4.448
- calculated formation energy (kJ/mol of formula units) = 103.4

---

(5)
First-principles (PBE) data for Er6HgPd2 after structural relaxation, as listed in Alexandria via LeMat-Bulk.

Cell lengths 8.4566, 8.4566, 8.4566 Å; angles 105.45, 110.34, 112.71 degrees
With the nearest neighbours (Å) after each atom.
Sites, in units of the cell vectors:
Er: 0.5310 0.7130 0.8180  3 Pd 2.99-3.12, 1 Hg 3.21
Er: 0.4690 0.2870 0.1820  3 Pd 2.99-3.12, 1 Hg 3.21
Er: 0.1050 0.2871 0.8180  3 Pd 2.99-3.12, 1 Hg 3.21
Er: 0.8950 0.7130 0.1820  3 Pd 2.99-3.12, 1 Hg 3.21
Er: 0.8040 0.7610 0.5650  1 Pd 2.84, 1 Hg 3.09
Er: 0.1960 0.2390 0.4350  1 Pd 2.84, 1 Hg 3.09
Er: 0.1960 0.7610 0.9570  1 Pd 2.84, 1 Hg 3.09
Er: 0.8040 0.2390 0.0430  1 Pd 2.84, 1 Hg 3.09
Er: 0.7015 0.3728 0.6713  3 Pd 2.75-2.98
Er: 0.2985 0.6272 0.3287  3 Pd 2.75-2.98
Er: 0.2985 0.9698 0.6713  3 Pd 2.75-2.98
Er: 0.7015 0.0302 0.3287  3 Pd 2.75-2.98
Hg: 0.0000 0.5000 0.5000  12 Er 3.28-3.66
Hg: 0.0000 0.0000 0.0000  8 Er 3.09-3.21, 2 Pd 3.34
Pd: 0.5000 0.3659 0.8659  6 Er 2.75-2.99, 1 Pd 2.75
Pd: 0.5000 0.6341 0.1341  6 Er 2.75-2.99, 1 Pd 2.75
Pd: 0.6546 0.0000 0.6546  8 Er 2.84-3.12, 1 Pd 2.99
Pd: 0.3454 0.0000 0.3454  8 Er 2.84-3.12, 1 Pd 2.99

Calculated values
- N(E_F) (states/eV/cell) = 18.972
- calculated formation energy (kJ/mol of formula units) = -472.7

---

(6)
First-principles (PBE) data for PrPu3Cu8 after structural relaxation, as listed in Alexandria via LeMat-Bulk.

Cell lengths 5.2725, 5.2725, 8.5874 Å; angles 90.00, 90.00, 120.00 degrees
With the nearest neighbours (Å) after each atom.
Sites, in units of the cell vectors:
Pr: 0.0000 0.0000 0.5585  12 Cu 3.08-3.12, 4 Pu 3.23-3.39
Pu: 0.6667 0.3333 0.4332  12 Cu 3.08-3.14, 3 Pr 3.23, 1 Pu 3.25
Pu: 0.6667 0.3333 0.0544  12 Cu 3.02-3.12, 4 Pu 3.17-3.25
Pu: 0.0000 0.0000 0.9528  12 Cu 2.98-3.15, 3 Pu 3.17
Cu: 0.3333 0.6667 0.4997  6 Cu 2.62-2.64
Cu: 0.3333 0.6667 0.9993  6 Cu 2.61
Cu: 0.4985 0.9970 0.7518  6 Cu 2.61-2.66
Cu: 0.4985 0.5015 0.7518  6 Cu 2.61-2.66
Cu: 0.0030 0.5015 0.7518  6 Cu 2.61-2.66
Cu: 0.1700 0.3400 0.2489  6 Cu 2.58-2.69
Cu: 0.1700 0.8300 0.2489  6 Cu 2.58-2.69
Cu: 0.6600 0.8300 0.2489  6 Cu 2.58-2.69

Calculated values
- N(E_F) (states/eV/cell) = 28.120
- calculated formation energy (kJ/mol of formula units) = -59.6

---

(7)
First-principles (PBE) data for Hg2RhW after structural relaxation, as listed in Alexandria via LeMat-Bulk.

Cell lengths 4.0238, 4.0238, 4.4408 Å; angles 90.00, 90.00, 90.00 degrees
With the nearest neighbours (Å) after each atom.
Sites, in units of the cell vectors:
Hg: 0.0000 0.5000 0.0000  4 Hg 2.85, 4 W 3.00, 4 Rh 3.00
Hg: 0.5000 0.0000 0.0000  4 Hg 2.85, 4 W 3.00, 4 Rh 3.00
Rh: 0.5000 0.5000 0.5000  4 W 2.85, 8 Hg 3.00
W: 0.0000 0.0000 0.5000  4 Rh 2.85, 8 Hg 3.00

Calculated values
- offset from the most stable computed form (meV/atom) = 541.8
- N(E_F) (states/eV/cell) = 6.275
- calculated formation energy (kJ/mol of formula units) = 298.3

---

(8)
First-principles (PBE) data for MnAgH after structural relaxation, as listed in Alexandria via LeMat-Bulk.

Cell lengths 2.7040, 2.7040, 34.6847 Å; angles 90.00, 90.00, 90.00 degrees
With the nearest neighbours (Å) after each atom.
Sites, in units of the cell vectors:
H: 0.2414 0.2587 0.5965  5 Mn 1.74-1.93
H: 0.7413 0.2414 0.8465  5 Mn 1.74-1.93
H: 0.7586 0.2587 0.4035  5 Mn 1.74-1.93
H: 0.2587 0.2414 0.1535  5 Mn 1.74-1.93
H: 0.7586 0.7413 0.0965  5 Mn 1.74-1.93
H: 0.2414 0.7413 0.9035  5 Mn 1.74-1.93
H: 0.2587 0.7586 0.3465  5 Mn 1.74-1.93
H: 0.7413 0.7586 0.6535  5 Mn 1.74-1.93
Mn: 0.2411 0.2587 0.6467  5 H 1.74-1.93
Mn: 0.7413 0.2411 0.8967  5 H 1.74-1.93
Mn: 0.2587 0.2411 0.1033  5 H 1.74-1.93
Mn: 0.2411 0.7413 0.8533  5 H 1.74-1.93
Mn: 0.2587 0.7589 0.3967  5 H 1.74-1.93
Mn: 0.7413 0.7589 0.6033  5 H 1.74-1.93
Mn: 0.7589 0.7413 0.1467  5 H 1.74-1.93
Mn: 0.7589 0.2587 0.3533  5 H 1.74-1.93
Ag: 0.2475 0.7402 0.9637  1 H 2.09
Ag: 0.7402 0.2475 0.7863  1 H 2.09
Ag: 0.2598 0.2475 0.2137  1 H 2.09
Ag: 0.7525 0.7402 0.0363  1 H 2.09
Ag: 0.2475 0.2598 0.5363  1 H 2.09
Ag: 0.7402 0.7525 0.7137  1 H 2.09
Ag: 0.2598 0.7525 0.2863  1 H 2.09
Ag: 0.7525 0.2598 0.4637  1 H 2.09

Calculated values
- final energy (eV/atom) = -4.912
- N(E_F) (states/eV/cell) = 17.287

---

(9)
First-principles (PBE) data for Hf2MnBeTe after structural relaxation, as listed in Alexandria via LeMat-Bulk.

Cell lengths 4.7370, 4.1918, 4.7370 Å; angles 90.00, 90.00, 90.00 degrees
With the nearest neighbours (Å) after each atom.
Sites, in units of the cell vectors:
Be: 0.0000 0.0000 0.0000  2 Mn 2.10
Te: 0.5000 0.5000 0.5000  8 Hf 3.16, 4 Mn 3.35
Hf: 0.0000 0.0000 0.5000  2 Be 2.37
Hf: 0.5000 0.0000 0.0000  2 Be 2.37
Mn: 0.0000 0.5000 0.0000  2 Be 2.10

Calculated values
- final energy (eV/atom) = -7.006
- N(E_F) (states/eV/cell) = 4.397

---

(10)
First-principles (PBE) data for HfCrPt2 after structural relaxation, as listed in Alexandria via LeMat-Bulk.

Cell lengths 4.5756, 4.5756, 4.5756 Å; angles 60.00, 60.00, 60.00 degrees
With the nearest neighbours (Å) after each atom.
Sites, in units of the cell vectors:
Cr: 0.0000 0.0000 0.0000  8 Pt 2.80
Hf: 0.5000 0.5000 0.5000  8 Pt 2.80
Pt: 0.2500 0.2500 0.2500  4 Cr 2.80, 4 Hf 2.80
Pt: 0.7500 0.7500 0.7500  4 Hf 2.80, 4 Cr 2.80

Calculated values
- N(E_F) (states/eV/cell) = 3.087
- calculated formation energy (kJ/mol of formula units) = -244.6

---

(11)
First-principles (PBE) data for La4NpN4 after structural relaxation, as listed in Alexandria via LeMat-Bulk.

Cell lengths 5.8332, 5.8332, 7.1889 Å; angles 113.94, 113.94, 90.00 degrees
With the nearest neighbours (Å) after each atom.
Sites, in units of the cell vectors:
La: 0.5000 0.0000 0.0000  4 N 2.60
La: 0.0000 0.5000 0.0000  4 N 2.60
La: 0.2868 0.2868 0.5736  4 N 2.46-2.69
La: 0.7132 0.7132 0.4264  4 N 2.46-2.69
Np: 0.0000 0.0000 0.0000  4 N 2.22
N: 0.6743 0.6743 0.7414  1 Np 2.22, 1 La 2.46
N: 0.3257 0.9329 0.2586  1 Np 2.22, 1 La 2.46
N: 0.0671 0.0671 0.7414  1 Np 2.22, 1 La 2.46
N: 0.9329 0.3257 0.2586  1 Np 2.22, 1 La 2.46

Calculated values
- offset from the most stable computed form (meV/atom) = 351.3
- N(E_F) (states/eV/cell) = 7.528

---

(12)
First-principles (PBE) data for Ho8Sn2Ir after structural relaxation, as listed in Alexandria via LeMat-Bulk.

Cell lengths 4.9687, 6.6149, 9.9545 Å; angles 105.30, 104.45, 90.00 degrees
With the nearest neighbours (Å) after each atom.
Sites, in units of the cell vectors:
Ho: 0.4109 0.5463 0.8218  1 Ir 3.02, 2 Sn 3.38, 2 Ho 3.38
Ho: 0.6455 0.9990 0.2911  1 Ir 2.81, 2 Sn 3.14
Ho: 0.7808 0.6786 0.5616  3 Sn 3.15-3.26, 4 Ho 3.33-3.41
Ho: 0.9787 0.2124 0.9575  2 Ir 2.94, 1 Ho 3.13, 1 Sn 3.15
Ho: 0.2192 0.3214 0.4384  3 Sn 3.15-3.26, 4 Ho 3.33-3.41
Ho: 0.3545 0.0010 0.7089  1 Ir 2.81, 2 Sn 3.14
Ho: 0.5891 0.4537 0.1782  1 Ir 3.02, 2 Sn 3.38, 2 Ho 3.38
Ho: 0.0213 0.7876 0.0425  2 Ir 2.94, 1 Ho 3.13, 1 Sn 3.15
Sn: 0.8186 0.2444 0.6371  9 Ho 3.14-3.38
Sn: 0.1814 0.7556 0.3629  9 Ho 3.14-3.38
Ir: 0.5000 0.0000 0.0000  8 Ho 2.81-3.02

Calculated values
- N(E_F) (states/eV/cell) = 8.856
- calculated formation energy (kJ/mol of formula units) = -504.7